[1]
BaOsW2I | PBE | relaxed

a b c (Å): 5.0085 5.8503 5.0085
angles (deg): 90.00 90.00 90.00
Last column: nearest neighbours and their distance in Å.
Fractional positions:
I1 0.0000 0.5000 0.0000  2 Ba 2.93
Os1 0.5000 0.5000 0.5000  4 I 3.54, 8 W 3.85
Ba1 0.0000 0.0000 0.0000  4 W 2.50
W1 0.0000 0.0000 0.5000  2 Ba 2.50
W2 0.5000 0.0000 0.0000  2 Ba 2.50

Computed properties:
Uncorrected formation energy: 4.136 eV per atom

=====

[2]
Ba2P2I | PBE | relaxed

a b c (Å): 8.9430 8.9430 4.0974
angles (deg): 90.00 90.00 90.00
Last column: nearest neighbours and their distance in Å.
Fractional positions:
I1 0.0000 0.0000 0.0000  4 P 3.79, 8 Ba 3.85, 2 I 4.10
I2 0.5000 0.5000 0.0000  4 P 3.79, 8 Ba 3.85, 2 I 4.10
P1 0.4153 0.9153 0.0000  1 P 2.14
P2 0.9153 0.5847 0.0000  1 P 2.14
P3 0.5847 0.0847 0.0000  1 P 2.14
P4 0.0847 0.4153 0.0000  1 P 2.14
Ba1 0.1884 0.6884 0.5000  6 P 3.32-3.53
Ba2 0.6884 0.8116 0.5000  6 P 3.32-3.53
Ba3 0.8116 0.3116 0.5000  6 P 3.32-3.53
Ba4 0.3116 0.1884 0.5000  6 P 3.32-3.53

Computed properties:
Energy relative to the lowest polymorph listed for this composition: 0.080 eV per atom
Uncorrected formation energy: -1.061 eV per atom

=====

[3]
Ba8P4I3 | PBE | relaxed

a b c (Å): 9.5681 9.6812 9.6812
angles (deg): 90.75 119.30 119.30
Last column: nearest neighbours and their distance in Å.
Fractional positions:
Ba1 0.4563 0.2084 0.2084  2 P 3.14, 2 I 3.47
Ba2 0.0000 0.7673 0.2327  3 P 3.21-3.41, 2 I 3.44
Ba3 0.9749 0.2290 0.2290  4 P 3.26-3.45, 1 I 3.61
Ba4 0.5000 0.7670 0.2330  3 P 3.21-3.44, 2 I 3.41
Ba5 0.5000 0.2330 0.7670  3 P 3.21-3.44, 2 I 3.41
Ba6 0.0251 0.7710 0.7710  4 P 3.26-3.45, 1 I 3.61
Ba7 0.0000 0.2327 0.7673  3 P 3.21-3.41, 2 I 3.44
Ba8 0.5437 0.7916 0.7916  2 P 3.14, 2 I 3.47
P1 0.5000 0.0000 0.0000  6 Ba 3.14-3.26
P2 0.0000 0.5000 0.0000  6 Ba 3.41-3.45
P3 0.0000 0.0000 0.0000  6 Ba 3.14-3.29
P4 0.0000 0.0000 0.5000  6 Ba 3.41-3.45
I1 0.5000 0.5000 0.0000  6 Ba 3.41-3.47
I2 0.5000 0.0000 0.5000  6 Ba 3.41-3.47
I3 0.5000 0.5000 0.5000  6 Ba 3.61-3.69

Computed properties:
Uncorrected formation energy: -1.181 eV per atom

=====

[4]
Ba3PI | PBE | relaxed

a b c (Å): 6.2878 6.2878 6.2878
angles (deg): 90.00 90.00 90.00
Last column: nearest neighbours and their distance in Å.
Fractional positions:
I1 0.5000 0.5000 0.5000  12 Ba 4.45
P1 0.0000 0.0000 0.0000  6 Ba 3.14
Ba1 0.0000 0.5000 0.0000  2 P 3.14
Ba2 0.0000 0.0000 0.5000  2 P 3.14
Ba3 0.5000 0.0000 0.0000  2 P 3.14

Computed properties:
Energy relative to the lowest polymorph listed for this composition: 0.000 eV per atom
Uncorrected formation energy: -0.801 eV per atom

=====

[5]
Ba2PI | PBE | relaxed

a b c (Å): 5.8251 5.8251 5.8251
angles (deg): 60.00 60.00 60.00
Last column: nearest neighbours and their distance in Å.
Fractional positions:
I1 0.5000 0.5000 0.5000  8 Ba 3.57
P1 0.0000 0.0000 0.0000  8 Ba 3.57
Ba1 0.2500 0.2500 0.2500  4 I 3.57, 4 P 3.57
Ba2 0.7500 0.7500 0.7500  4 I 3.57, 4 P 3.57

Computed properties:
Uncorrected formation energy: -1.156 eV per atom

=====

[6]
BaP3I | PBE | relaxed

a b c (Å): 6.3640 6.3640 6.3640
angles (deg): 90.00 90.00 90.00
Last column: nearest neighbours and their distance in Å.
Fractional positions:
I1 0.5000 0.5000 0.5000  12 P 4.50
P1 0.0000 0.5000 0.0000  2 Ba 3.18
P2 0.0000 0.0000 0.5000  2 Ba 3.18
P3 0.5000 0.0000 0.0000  2 Ba 3.18
Ba1 0.0000 0.0000 0.0000  6 P 3.18

Computed properties:
Energy relative to the lowest polymorph listed for this composition: 0.808 eV per atom
Uncorrected formation energy: 1.336 eV per atom

=====

[7]
Ba4P2I | PBE | relaxed

a b c (Å): 4.7217 4.7217 16.8193
angles (deg): 81.93 81.93 60.00
Last column: nearest neighbours and their distance in Å.
Fractional positions:
Ba1 0.1191 0.1191 0.6426  3 P 3.21
Ba2 0.2821 0.2821 0.1537  3 P 3.21
Ba3 0.7179 0.7179 0.8463  3 P 3.21
Ba4 0.8809 0.8809 0.3574  3 P 3.21
P1 0.4185 0.4185 0.7444  6 Ba 3.21
P2 0.5815 0.5815 0.2556  6 Ba 3.21
I1 0.0000 0.0000 0.0000  6 Ba 3.73

Computed properties:
Uncorrected formation energy: -1.171 eV per atom

=====

[8]
Ba5PI5 | PBE | relaxed

a b c (Å): 6.9260 8.5043 9.8850
angles (deg): 107.34 90.00 114.03
Last column: nearest neighbours and their distance in Å.
Fractional positions:
Ba1 0.8465 0.6931 0.1455  1 P 3.16, 3 I 3.49-3.54
Ba2 0.8506 0.7013 0.6988  1 P 3.12, 2 I 3.49
Ba3 0.5000 0.0000 0.0000  2 P 3.46, 4 I 3.52-3.57
Ba4 0.1494 0.2987 0.3012  1 P 3.12, 2 I 3.49
Ba5 0.1535 0.3069 0.8545  1 P 3.16, 3 I 3.49-3.54
P1 0.0000 0.0000 0.0000  6 Ba 3.12-3.46
I1 0.6766 0.3532 0.3382  5 Ba 3.49-3.72
I2 0.6607 0.3214 0.8180  5 Ba 3.49-3.57
I3 0.0000 0.0000 0.5000  4 Ba 3.50-3.54
I4 0.3393 0.6786 0.1820  5 Ba 3.49-3.57
I5 0.3234 0.6468 0.6618  5 Ba 3.49-3.72

Computed properties:
Uncorrected formation energy: -1.479 eV per atom

=====

[9]
BaP3I | PBE | relaxed

a b c (Å): 5.2467 5.2467 5.2467
angles (deg): 90.00 90.00 90.00
Last column: nearest neighbours and their distance in Å.
Fractional positions:
I1 0.0000 0.0000 0.0000  6 P 2.62
P1 0.0000 0.5000 0.0000  2 I 2.62
P2 0.0000 0.0000 0.5000  2 I 2.62
P3 0.5000 0.0000 0.0000  2 I 2.62
Ba1 0.5000 0.5000 0.5000  12 P 3.71

Computed properties:
Energy relative to the lowest polymorph listed for this composition: 0.000 eV per atom
Uncorrected formation energy: 0.528 eV per atom

=====

[10]
Ba2PI | PBE | relaxed

a b c (Å): 4.7163 4.7163 9.0253
angles (deg): 74.85 74.85 60.00
Last column: nearest neighbours and their distance in Å.
Fractional positions:
Ba1 0.0660 0.0660 0.8021  3 P 3.20
Ba2 0.2680 0.2680 0.1959  3 P 3.21
P1 0.6672 0.6672 0.9984  6 Ba 3.20-3.21
I1 0.4988 0.4988 0.5035  6 Ba 3.74-3.80

Computed properties:
Uncorrected formation energy: -1.411 eV per atom

=====

[11]
Ba8P4I | PBE | relaxed

a b c (Å): 9.7107 9.7107 9.7107
angles (deg): 60.00 60.00 60.00
Last column: nearest neighbours and their distance in Å.
Fractional positions:
Ba1 0.5846 0.1385 0.1385  3 P 3.24
Ba2 0.1385 0.5846 0.1385  3 P 3.24
Ba3 0.1385 0.1385 0.5846  3 P 3.24
Ba4 0.1385 0.1385 0.1385  3 P 3.24
Ba5 0.1809 0.6064 0.6064  3 P 3.22, 1 I 3.42
Ba6 0.6064 0.1809 0.6064  3 P 3.22, 1 I 3.42
Ba7 0.6064 0.6064 0.1809  3 P 3.22, 1 I 3.42
Ba8 0.6064 0.6064 0.6064  3 P 3.22, 1 I 3.42
P1 0.8784 0.3739 0.3739  6 Ba 3.22-3.24
P2 0.3739 0.8784 0.3739  6 Ba 3.22-3.24
P3 0.3739 0.3739 0.8784  6 Ba 3.22-3.24
P4 0.3739 0.3739 0.3739  6 Ba 3.22-3.24
I1 0.7500 0.7500 0.7500  4 Ba 3.42

Computed properties:
Uncorrected formation energy: -0.950 eV per atom

=====

[12]
Ba2P2I | PBE | relaxed

a b c (Å): 4.3246 4.3246 9.6811
angles (deg): 77.09 77.09 90.00
Last column: nearest neighbours and their distance in Å.
Fractional positions:
I1 0.0000 0.0000 0.0000  8 Ba 3.86, 4 I 4.32
P1 0.7500 0.2500 0.5000  4 P 3.06, 4 Ba 3.11
P2 0.2500 0.7500 0.5000  4 P 3.06, 4 Ba 3.11
Ba1 0.3716 0.3716 0.2568  4 P 3.11
Ba2 0.6284 0.6284 0.7432  4 P 3.11

Computed properties:
Energy relative to the lowest polymorph listed for this composition: 0.300 eV per atom
Uncorrected formation energy: -0.842 eV per atom

=====

[13]
Ba2P2I | PBE | relaxed

a b c (Å): 5.0162 5.0162 8.7260
angles (deg): 81.99 81.99 66.73
Last column: nearest neighbours and their distance in Å.
Fractional positions:
Ba1 0.6885 0.6885 0.7204  4 P 3.16-3.17
Ba2 0.3115 0.3115 0.2796  4 P 3.16-3.17
P1 0.8065 0.1935 0.5000  1 P 2.14
P2 0.1935 0.8065 0.5000  1 P 2.14
I1 0.0000 0.0000 0.0000  6 Ba 3.84-3.86

Computed properties:
Energy relative to the lowest polymorph listed for this composition: 0.076 eV per atom
Uncorrected formation energy: -1.066 eV per atom

=====

[14]
Ba2PI | PBE | relaxed

a b c (Å): 4.6749 8.6843 8.2232
angles (deg): 90.00 90.00 90.00
Last column: nearest neighbours and their distance in Å.
Fractional positions:
Ba1 0.0000 0.7001 0.7375  3 P 3.22-3.23
Ba2 0.5000 0.2999 0.7625  3 P 3.22-3.23
Ba3 0.0000 0.7001 0.2625  3 P 3.22-3.23
Ba4 0.5000 0.2999 0.2375  3 P 3.22-3.23
P1 0.5000 0.5757 0.5000  6 Ba 3.22-3.23
P2 0.0000 0.4243 0.0000  6 Ba 3.22-3.23
I1 0.5000 0.9277 0.0000  6 Ba 3.75-3.78
I2 0.0000 0.0723 0.5000  6 Ba 3.75-3.78

Computed properties:
Uncorrected formation energy: -1.350 eV per atom

=====

[15]
Ba2PI | PBE | relaxed

a b c (Å): 8.6355 8.6355 7.9041
angles (deg): 56.89 56.89 90.00
Last column: nearest neighbours and their distance in Å.
Fractional positions:
I1 0.0000 0.0000 0.0000  4 Ba 3.60
I2 0.7500 0.2500 0.5000  4 Ba 3.60
P1 0.5000 0.5000 0.0000  4 Ba 3.03
P2 0.2500 0.7500 0.5000  4 Ba 3.03
Ba1 0.5741 0.1250 0.2500  2 P 3.03
Ba2 0.1759 0.6250 0.2500  2 P 3.03
Ba3 0.3750 0.4259 0.7500  2 P 3.03
Ba4 0.8750 0.8241 0.7500  2 P 3.03

Computed properties:
Uncorrected formation energy: -1.182 eV per atom

=====

[16]
Ba2P2I | PBE | relaxed

a b c (Å): 4.9830 8.5729 9.6339
angles (deg): 107.54 104.99 90.00
Last column: nearest neighbours and their distance in Å.
Fractional positions:
Ba1 0.7661 0.1510 0.2972  5 P 3.09-3.36
Ba2 0.5311 0.6510 0.2972  5 P 3.09-3.36
Ba3 0.2339 0.8490 0.7028  5 P 3.09-3.36
Ba4 0.4689 0.3490 0.7028  5 P 3.09-3.36
P1 0.8712 0.5006 0.5723  1 P 2.12
P2 0.2990 0.9994 0.4277  1 P 2.12
P3 0.1288 0.4994 0.4277  1 P 2.12
P4 0.7010 0.0006 0.5723  1 P 2.12
I1 0.7346 0.7500 0.0000  4 Ba 3.59-3.72
I2 0.2654 0.2500 0.0000  4 Ba 3.59-3.72

Computed properties:
Energy relative to the lowest polymorph listed for this composition: 0.000 eV per atom
Uncorrected formation energy: -1.142 eV per atom

=====

[17]
Ba3PI2 | PBE | relaxed

a b c (Å): 8.3830 8.3631 8.7203
angles (deg): 80.79 71.38 59.92
Last column: nearest neighbours and their distance in Å.
Fractional positions:
Ba1 0.4353 0.6369 0.7856  2 P 3.20, 2 I 3.52-3.55
Ba2 0.2933 0.0000 0.2090  2 P 3.20, 2 I 3.50
Ba3 0.5647 0.3631 0.2144  2 P 3.20, 2 I 3.52-3.55
Ba4 0.9278 0.6369 0.2144  2 P 3.20, 2 I 3.52-3.55
Ba5 0.0722 0.3631 0.7856  2 P 3.20, 2 I 3.52-3.55
Ba6 0.7067 0.0000 0.7910  2 P 3.20, 2 I 3.50
P1 0.6680 0.6639 0.0000  6 Ba 3.20
P2 0.3320 0.3361 0.0000  6 Ba 3.20
I1 0.0000 0.0000 0.0000  6 Ba 3.50-3.52
I2 0.5000 0.0000 0.5000  6 Ba 3.50-3.75
I3 0.1571 0.6858 0.5000  6 Ba 3.55-3.77
I4 0.8429 0.3142 0.5000  6 Ba 3.55-3.77

Computed properties:
Uncorrected formation energy: -1.408 eV per atom

=====

[18]
BaP2I | PBE | relaxed

a b c (Å): 6.2446 6.2446 9.0223
angles (deg): 69.75 69.75 90.00
Last column: nearest neighbours and their distance in Å.
Fractional positions:
I1 0.5000 0.5000 0.0000  4 P 2.74
I2 0.2500 0.7500 0.5000  4 P 2.74
P1 0.5491 0.1250 0.2500  2 I 2.74
P2 0.2009 0.6250 0.2500  2 I 2.74
P3 0.3750 0.4509 0.7500  2 I 2.74
P4 0.8750 0.7991 0.7500  2 I 2.74
Ba1 0.0000 0.0000 0.0000  4 P 3.23
Ba2 0.7500 0.2500 0.5000  4 P 3.23

Computed properties:
Energy relative to the lowest polymorph listed for this composition: 0.000 eV per atom
Uncorrected formation energy: 0.301 eV per atom

=====

[19]
Ba3PI2 | PBE | relaxed

a b c (Å): 8.5394 8.5394 15.2920
angles (deg): 100.95 100.95 108.65
Last column: nearest neighbours and their distance in Å.
Fractional positions:
Ba1 0.1586 0.6959 0.8195  2 P 3.19-3.22, 2 I 3.56-3.58
Ba2 0.6609 0.1236 0.8195  2 P 3.19-3.22, 2 I 3.56-3.58
Ba3 0.0914 0.0541 0.6805  2 P 3.19-3.22, 2 I 3.56-3.58
Ba4 0.5891 0.6264 0.6805  2 P 3.19-3.22, 2 I 3.56-3.58
Ba5 0.0418 0.5418 0.5000  2 P 3.20, 2 I 3.49
Ba6 0.4582 0.9582 0.5000  2 P 3.20, 2 I 3.49
Ba7 0.3736 0.4109 0.3195  2 P 3.19-3.22, 2 I 3.56-3.58
Ba8 0.9459 0.9086 0.3195  2 P 3.19-3.22, 2 I 3.56-3.58
Ba9 0.8764 0.3391 0.1805  2 P 3.19-3.22, 2 I 3.56-3.58
Ba10 0.3041 0.8414 0.1805  2 P 3.19-3.22, 2 I 3.56-3.58
Ba11 0.2082 0.2082 0.0000  2 P 3.20, 2 I 3.49
Ba12 0.7918 0.7918 0.0000  2 P 3.20, 2 I 3.49
P1 0.9158 0.9158 0.8316  6 Ba 3.19-3.22
P2 0.3342 0.8342 0.6684  6 Ba 3.19-3.22
P3 0.1658 0.6658 0.3316  6 Ba 3.19-3.22
P4 0.0842 0.0842 0.1684  6 Ba 3.19-3.22
I1 0.9964 0.4964 0.9928  6 Ba 3.49-3.67
I2 0.4215 0.4215 0.8430  6 Ba 3.56-3.75
I3 0.8285 0.3285 0.6570  6 Ba 3.56-3.75
I4 0.2536 0.2536 0.5072  6 Ba 3.49-3.67
I5 0.7464 0.7464 0.4928  6 Ba 3.49-3.67
I6 0.6715 0.1715 0.3430  6 Ba 3.56-3.75
I7 0.5785 0.5785 0.1570  6 Ba 3.56-3.75
I8 0.5036 0.0036 0.0072  6 Ba 3.49-3.67

Computed properties:
Uncorrected formation energy: -1.409 eV per atom

=====

[20]
Ba8P4I | PBE | relaxed

a b c (Å): 4.7178 11.9645 12.0153
angles (deg): 83.43 78.68 78.63
Last column: nearest neighbours and their distance in Å.
Fractional positions:
Ba1 0.1452 0.3896 0.3199  3 P 3.22-3.29
Ba2 0.5386 0.2883 0.6344  3 P 3.20-3.26
Ba3 0.4623 0.6951 0.3803  3 P 3.19-3.24
Ba4 0.8559 0.5920 0.6962  3 P 3.24-3.30
Ba5 0.8342 0.3392 0.9923  3 P 3.19-3.21
Ba6 0.2120 0.9264 0.6496  3 P 3.16-3.22
Ba7 0.1635 0.6431 0.0300  3 P 3.19-3.23
Ba8 0.7911 0.0554 0.3623  3 P 3.17-3.24
P1 0.3506 0.4580 0.8409  6 Ba 3.21-3.26
P2 0.8381 0.8158 0.5079  6 Ba 3.17-3.30
P3 0.1639 0.1659 0.5064  6 Ba 3.16-3.29
P4 0.6494 0.5230 0.1781  6 Ba 3.19-3.24
I1 0.6402 0.8407 0.8789  5 Ba 3.67-3.76

Computed properties:
Uncorrected formation energy: -0.948 eV per atom

=====

[21]
Ba6P3I | PBE | relaxed

a b c (Å): 4.6461 12.7325 16.6756
angles (deg): 110.89 90.00 90.00
Last column: nearest neighbours and their distance in Å.
Fractional positions:
Ba1 0.7500 0.1813 0.6049  3 P 3.16-3.23
Ba2 0.2500 0.8187 0.3951  3 P 3.16-3.23
Ba3 0.7500 0.1308 0.0834  3 P 3.14-3.24
Ba4 0.2500 0.8692 0.9166  3 P 3.14-3.24
Ba5 0.7500 0.6525 0.5558  3 P 3.18-3.21
Ba6 0.2500 0.3475 0.4442  3 P 3.18-3.21
Ba7 0.7500 0.5148 0.2744  3 P 3.18
Ba8 0.2500 0.4852 0.7256  3 P 3.18
Ba9 0.7500 0.2869 0.8861  3 P 3.17-3.31
Ba10 0.2500 0.7131 0.1139  3 P 3.17-3.31
Ba11 0.7500 0.0018 0.2563  3 P 3.15-3.20
Ba12 0.2500 0.9982 0.7437  3 P 3.15-3.20
P1 0.7500 0.4199 0.5862  6 Ba 3.16-3.21
P2 0.2500 0.5801 0.4138  6 Ba 3.16-3.21
P3 0.7500 0.7522 0.2510  6 Ba 3.15-3.23
P4 0.2500 0.2478 0.7490  6 Ba 3.15-3.23
P5 0.7500 0.0251 0.8819  6 Ba 3.14-3.31
P6 0.2500 0.9749 0.1181  6 Ba 3.14-3.31
I1 0.7500 0.6184 0.9196  7 Ba 3.82-4.05
I2 0.2500 0.3816 0.0804  7 Ba 3.82-4.05

Computed properties:
Uncorrected formation energy: -1.030 eV per atom

=====

[22]
BaP2I | PBE | relaxed

a b c (Å): 5.3953 5.3953 5.3953
angles (deg): 60.00 60.00 60.00
Last column: nearest neighbours and their distance in Å.
Fractional positions:
I1 0.0000 0.0000 0.0000  8 P 3.30
P1 0.2500 0.2500 0.2500  4 Ba 3.30, 4 I 3.30
P2 0.7500 0.7500 0.7500  4 Ba 3.30, 4 I 3.30
Ba1 0.5000 0.5000 0.5000  8 P 3.30

Computed properties:
Energy relative to the lowest polymorph listed for this composition: 0.024 eV per atom
Uncorrected formation energy: 0.325 eV per atom

=====

[23]
Ba2PI | PBE | relaxed

a b c (Å): 4.0551 4.0551 8.6800
angles (deg): 90.00 90.00 90.00
Last column: nearest neighbours and their distance in Å.
Fractional positions:
I1 0.5000 0.5000 0.5000  8 Ba 3.88, 4 I 4.06, 2 P 4.34
P1 0.5000 0.5000 0.0000  8 Ba 3.35
Ba1 0.0000 0.0000 0.8012  4 P 3.35, 1 Ba 3.45
Ba2 0.0000 0.0000 0.1988  4 P 3.35, 1 Ba 3.45

Computed properties:
Uncorrected formation energy: -1.245 eV per atom